No. 1
This record from the Alexandria database describes a geometry-optimized BeGeSbW structure. The functional is GGA-PBE.

As for the offset from the most stable computed form: 0.000 eV per atom. For the raw formation energy, the calculation gives 0.2223 eV per atom. The value obtained for the total energy is -0.225 Ha/atom. As for the volume: 129 Å³ per cell. The value obtained for the density of states at the Fermi level is 0.363 states/eV/atom.

Lattice parameters (Å, degrees): 3.548 3.583 10.180 90.00 90.00 90.00
Space group Amm2 (No. 38)
One atom of each set of equivalent atoms:
Be  0.000  0.000  0.000 [2 per cell]
Ge  0.000  0.000  0.760 [2 per cell]
Sb  0.500  0.000  0.456 [2 per cell]
W  0.500  0.000  0.171 [2 per cell]

No. 2
This record from the Alexandria database describes a geometry-optimized Hf3FeNi2 structure. The functional is GGA-PBE.

Its energy of formation from the pure elements is -0.379 eV per atom. The value obtained for the total energy is -0.319 Ha/atom. As for the volume: 382 Å³ per cell. The value obtained for the density of states at the Fermi level is 1.051 states/eV/atom.

Lattice parameters (Å, degrees): 4.478 13.426 6.349 90.00 90.00 90.00
Space group Cmmm (No. 65)
One atom of each set of equivalent atoms:
Hf  0.000  0.000  0.248 [4 per cell]
Hf  0.000  0.332  0.246 [8 per cell]
Fe  0.000  0.167  0.000 [4 per cell]
Ni  0.000  0.169  0.500 [4 per cell]
Ni  0.000  0.500  0.000 [2 per cell]
Ni  0.000  0.500  0.500 [2 per cell]

No. 3
This record from the Alexandria database describes a geometry-optimized MgIn5Pb8 structure. The functional is GGA-PBE.

Its energy of formation from the pure elements is 0.061 eV per atom. The value obtained for the total energy is -0.116 Ha/atom. As for the volume: 857 Å³ per cell. The value obtained for the density of states at the Fermi level is 0.433 states/eV/atom.

Lattice parameters (Å, degrees): 9.421 9.421 9.660 90.00 90.00 90.00
Space group I-4 (No. 82)
One atom of each set of equivalent atoms:
Mg  0.000  0.000  0.000 [2 per cell]
In  0.000  0.500  0.750 [2 per cell]
In  0.109  0.814  0.418 [8 per cell]
Pb  0.069  0.663  0.090 [8 per cell]
Pb  0.116  0.816  0.764 [8 per cell]

No. 4
This record from the Alexandria database describes a geometry-optimized SnH structure. The functional is GGA-PBE.

As for the offset from the most stable computed form: 0.578 eV per atom. The value obtained for the total energy is -0.111 Ha/atom. As for the volume: 251 Å³ per cell. The value obtained for the density of states at the Fermi level is 0.384 states/eV/atom.

Lattice parameters (Å, degrees): 6.311 6.311 6.311 90.00 90.00 90.00
Space group Pm-3n (No. 223)
One atom of each set of equivalent atoms:
Sn  0.000  0.250  0.500 [6 per cell]
H  0.000  0.500  0.250 [6 per cell]

No. 5
This record from the Alexandria database describes a geometry-optimized Ag2PRu structure. The functional is GGA-PBE.

As for the offset from the most stable computed form: 0.585 eV per atom. Its energy of formation from the pure elements is 0.539 eV per atom. The value obtained for the total energy is -0.168 Ha/atom. As for the volume: 193 Å³ per cell. The value obtained for the density of states at the Fermi level is 0.896 states/eV/atom.

Lattice parameters (Å, degrees): 2.8608 2.8608 27.2622 90.00 90.00 120.00
Space group R-3m (No. 166, hexagonal axes)
One atom of each set of equivalent atoms:
Ag  0.0000  0.0000  0.2477 [6 per cell]
P  0.0000  0.0000  0.5000 [3 per cell]
Ru  0.0000  0.0000  0.0000 [3 per cell]

No. 6
This record from the Alexandria database describes a geometry-optimized YHg2Os2 structure. The functional is GGA-PBE.

As for the offset from the most stable computed form: 0.104 eV per atom. Its energy of formation from the pure elements is 0.619 eV per atom. The value obtained for the total energy is -0.194 Ha/atom. As for the volume: 198 Å³ per cell. The value obtained for the density of states at the Fermi level is 0.817 states/eV/atom.

Lattice parameters (Å, degrees): 8.124 8.124 2.998 90.00 90.00 90.00
Space group P4/mbm (No. 127)
One atom of each set of equivalent atoms:
Y  0.000  0.000  0.000 [2 per cell]
Hg  0.182  0.318  0.000 [4 per cell]
Os  0.109  0.609  0.500 [4 per cell]

No. 7
This record from the Alexandria database describes a geometry-optimized In structure. The functional is GGA-PBE.

As for the offset from the most stable computed form: 0.372 eV per atom. Its energy of formation from the pure elements is 0.372 eV per atom. The value obtained for the total energy is -0.087 Ha/atom. As for the volume: 785 Å³ per cell. The value obtained for the density of states at the Fermi level is 0.546 states/eV/atom.

Lattice parameters (Å, degrees): 9.225 9.225 9.225 90.00 90.00 90.00
Space group I-43m (No. 217)
One atom of each set of equivalent atoms:
In  0.131  0.131  0.869 [8 per cell]
In  0.187  0.187  0.187 [8 per cell]

No. 8
This record from the Alexandria database describes a geometry-optimized Rb2InAgI6 structure. The functional is GGA-PBE.

For the raw formation energy, the calculation gives -0.8232 eV per atom. The value obtained for the total energy is -0.092 Ha/atom. As for the volume: 429 Å³ per cell.

Lattice parameters (Å, degrees): 8.029 8.257 8.444 115.18 95.37 115.71
Space group P1 (No. 1)
One atom of each set of equivalent atoms:
Rb  0.000  0.000  0.000 [1 per cell]
Rb  0.480  0.007  0.494 [1 per cell]
In  0.732  0.492  0.241 [1 per cell]
Ag  0.162  0.412  0.736 [1 per cell]
I  0.019  0.594  0.585 [1 per cell]
I  0.044  0.523  0.068 [1 per cell]
I  0.453  0.503  0.425 [1 per cell]
I  0.524  0.472  0.904 [1 per cell]
I  0.546  0.042  0.054 [1 per cell]
I  0.949  0.975  0.431 [1 per cell]

No. 9
This record from the Alexandria database describes a geometry-optimized YTi2AlO structure. The functional is GGA-PBE.

For the raw formation energy, the calculation gives -1.1635 eV per atom. The value obtained for the total energy is -0.270 Ha/atom. As for the volume: 82 Å³ per cell. The value obtained for the density of states at the Fermi level is 0.793 states/eV/atom.

Lattice parameters (Å, degrees): 4.183 4.183 4.699 90.00 90.00 90.00
Space group P4/mmm (No. 123)
One atom of each set of equivalent atoms:
Y  0.000  0.000  0.000 [1 per cell]
Ti  0.000  0.500  0.500 [2 per cell]
Al  0.500  0.500  0.000 [1 per cell]
O  0.000  0.000  0.500 [1 per cell]

No. 10
This record from the Alexandria database describes a geometry-optimized LaTbCeGa structure. The functional is GGA-PBE.

Its energy of formation from the pure elements is -0.058 eV per atom. The value obtained for the total energy is -0.172 Ha/atom. As for the volume: 453 Å³ per cell. The value obtained for the density of states at the Fermi level is 2.445 states/eV/atom.

Lattice parameters (Å, degrees): 7.680 7.680 7.680 90.00 90.00 90.00
Space group F-43m (No. 216)
One atom of each set of equivalent atoms:
La  0.000  0.000  0.000 [4 per cell]
Tb  0.250  0.250  0.750 [4 per cell]
Ce  0.000  0.000  0.500 [4 per cell]
Ga  0.250  0.250  0.250 [4 per cell]

No. 11
This record from the Alexandria database describes a geometry-optimized P2OsPdS structure. The functional is GGA-PBE.

As for the offset from the most stable computed form: 0.000 eV per atom. For the raw formation energy, the calculation gives 0.7862 eV per atom. The value obtained for the total energy is -0.202 Ha/atom. As for the volume: 101 Å³ per cell. The value obtained for the density of states at the Fermi level is 0.765 states/eV/atom.

Lattice parameters (Å, degrees): 4.427 4.427 5.150 90.00 90.00 90.00
Space group P4/mmm (No. 123)
One atom of each set of equivalent atoms:
P  0.000  0.500  0.000 [2 per cell]
Os  0.000  0.000  0.000 [1 per cell]
Pd  0.500  0.500  0.500 [1 per cell]
S  0.000  0.000  0.500 [1 per cell]

No. 12
This record from the Alexandria database describes a geometry-optimized YZrCl structure. The functional is GGA-PBE.

As for the offset from the most stable computed form: 0.208 eV per atom. For the raw formation energy, the calculation gives -0.6784 eV per atom. The value obtained for the total energy is -0.231 Ha/atom. As for the volume: 72 Å³ per cell. The value obtained for the density of states at the Fermi level is 0.429 states/eV/atom.

Lattice parameters (Å, degrees): 3.5198 3.5198 6.7376 90.00 90.00 120.00
Space group P3m1 (No. 156)
One atom of each set of equivalent atoms:
Y  0.0000  0.0000  0.0000 [1 per cell]
Zr  0.6667  0.3333  0.3637 [1 per cell]
Cl  0.3333  0.6667  0.6537 [1 per cell]

No. 13
This record from the Alexandria database describes a geometry-optimized Fe2PW structure. The functional is GGA-PBE.

Its energy of formation from the pure elements is -0.029 eV per atom. The value obtained for the total energy is -0.325 Ha/atom. As for the volume: 49 Å³ per cell. The value obtained for the density of states at the Fermi level is 0.881 states/eV/atom.

Lattice parameters (Å, degrees): 2.709 3.770 4.917 90.00 104.87 90.00
Space group P2/m (No. 10)
One atom of each set of equivalent atoms:
Fe  0.126  0.000  0.269 [2 per cell]
P  0.000  0.500  0.500 [1 per cell]
W  0.500  0.500  0.000 [1 per cell]

No. 14
This record from the Alexandria database describes a geometry-optimized NbInSn2 structure. The functional is GGA-PBE.

Its energy of formation from the pure elements is 0.025 eV per atom. The value obtained for the total energy is -0.190 Ha/atom. As for the volume: 201 Å³ per cell. The value obtained for the density of states at the Fermi level is 0.392 states/eV/atom.

Lattice parameters (Å, degrees): 4.264 4.299 10.983 90.00 90.00 90.00
Space group Cmmm (No. 65)
One atom of each set of equivalent atoms:
Nb  0.000  0.000  0.000 [2 per cell]
In  0.000  0.500  0.500 [2 per cell]
Sn  0.000  0.500  0.204 [4 per cell]

No. 15
This record from the Alexandria database describes a geometry-optimized Ac2PmCo structure. The functional is GGA-PBE.

As for the offset from the most stable computed form: 0.666 eV per atom. Its energy of formation from the pure elements is 0.644 eV per atom. The value obtained for the total energy is -0.161 Ha/atom. As for the volume: 416 Å³ per cell. The value obtained for the density of states at the Fermi level is 1.634 states/eV/atom.

Lattice parameters (Å, degrees): 3.7334 3.7334 34.4336 90.00 90.00 120.00
Space group R-3m (No. 166, hexagonal axes)
One atom of each set of equivalent atoms:
Ac  0.0000  0.0000  0.0754 [6 per cell]
Pm  0.0000  0.0000  0.5000 [3 per cell]
Co  0.0000  0.0000  0.0000 [3 per cell]

No. 16
This record from the Alexandria database describes a geometry-optimized SrAlTc2 structure. The functional is GGA-PBE.

Its energy of formation from the pure elements is 0.512 eV per atom. The value obtained for the total energy is -0.221 Ha/atom. As for the volume: 223 Å³ per cell. The value obtained for the density of states at the Fermi level is 0.732 states/eV/atom.

Lattice parameters (Å, degrees): 2.9672 2.9672 29.2988 90.00 90.00 120.00
Space group R3m (No. 160, hexagonal axes)
One atom of each set of equivalent atoms:
Sr  0.0000  0.0000  0.0000 [3 per cell]
Al  0.0000  0.0000  0.2355 [3 per cell]
Tc  0.0000  0.0000  0.4970 [3 per cell]
Tc  0.0000  0.0000  0.7632 [3 per cell]

No. 17
This record from the Alexandria database describes a geometry-optimized AsOsBr structure. The functional is GGA-PBE.

As for the offset from the most stable computed form: 0.000 eV per atom. For the raw formation energy, the calculation gives 0.2387 eV per atom. The value obtained for the total energy is -0.206 Ha/atom. As for the volume: 76 Å³ per cell.

Lattice parameters (Å, degrees): 3.8095 3.8095 6.0317 90.00 90.00 120.00
Space group P3m1 (No. 156)
One atom of each set of equivalent atoms:
As  0.0000  0.0000  0.0000 [1 per cell]
Os  0.3333  0.6667  0.8568 [1 per cell]
Br  0.6667  0.3333  0.5772 [1 per cell]

No. 18
This record from the Alexandria database describes a geometry-optimized La3CdCu structure. The functional is GGA-PBE.

As for the offset from the most stable computed form: 0.000 eV per atom. Its energy of formation from the pure elements is -0.141 eV per atom. The value obtained for the total energy is -0.151 Ha/atom. As for the volume: 590 Å³ per cell. The value obtained for the density of states at the Fermi level is 1.173 states/eV/atom.

Lattice parameters (Å, degrees): 5.423 20.069 5.421 90.00 90.00 90.00
Space group Cmcm (No. 63)
One atom of each set of equivalent atoms:
La  0.000  0.062  0.250 [4 per cell]
La  0.000  0.249  0.250 [4 per cell]
La  0.000  0.435  0.250 [4 per cell]
Cd  0.000  0.154  0.750 [4 per cell]
Cu  0.000  0.346  0.750 [4 per cell]

No. 19
This record from the Alexandria database describes a geometry-optimized PtPb3Au structure. The functional is GGA-PBE.

As for the offset from the most stable computed form: 0.000 eV per atom. Its energy of formation from the pure elements is -0.105 eV per atom. The value obtained for the total energy is -0.154 Ha/atom. As for the volume: 513 Å³ per cell. The value obtained for the density of states at the Fermi level is 0.427 states/eV/atom.

Lattice parameters (Å, degrees): 7.697 7.030 11.218 90.00 122.27 90.00
Space group P2_1/c (No. 14)
One atom of each set of equivalent atoms:
Pt  0.005  0.189  0.065 [4 per cell]
Pb  0.117  0.686  0.738 [4 per cell]
Pb  0.275  0.004  0.570 [4 per cell]
Pb  0.365  0.026  0.077 [4 per cell]
Au  0.327  0.210  0.351 [4 per cell]

No. 20
This record from the Alexandria database describes a geometry-optimized SrTiN2O structure. The functional is GGA-PBE.

For the raw formation energy, the calculation gives -1.2178 eV per atom. The value obtained for the total energy is -0.274 Ha/atom. As for the volume: 65 Å³ per cell. The value obtained for the density of states at the Fermi level is 0.526 states/eV/atom.

Lattice parameters (Å, degrees): 4.007 4.007 4.048 90.00 90.00 90.00
Space group P4/mmm (No. 123)
One atom of each set of equivalent atoms:
Sr  0.000  0.000  0.000 [1 per cell]
Ti  0.500  0.500  0.500 [1 per cell]
N  0.000  0.500  0.500 [2 per cell]
O  0.500  0.500  0.000 [1 per cell]